Entry from the Alexandria database: a geometry-optimized B3OsS structure (GGA-PBE).

Cell lengths 3.7587, 3.7587, 3.7587 Å; angles 90.00, 90.00, 90.00 degrees
Space group Pm-3m (No. 221)
Symmetry-distinct sites (fractional):
B (0.0000, 0.0000, 0.5000) [3 per cell]
Os (0.5000, 0.5000, 0.5000) [1 per cell]
S (0.0000, 0.0000, 0.0000) [1 per cell]

Properties
- Total magnetization: 0.94 μB per formula unit
- E above lowest polymorph: 51.9 kJ per mole of atoms

***

Entry from the Alexandria database: a geometry-optimized SiBOs2S structure (GGA-PBE).

Cell lengths 4.2138, 4.2138, 3.7856 Å; angles 90.00, 90.00, 90.00 degrees
Space group P4/mmm (No. 123)
Symmetry-distinct sites (fractional):
Si (0.0000, 0.0000, 0.0000) [1 per cell]
B (0.0000, 0.0000, 0.5000) [1 per cell]
Os (0.0000, 0.5000, 0.5000) [2 per cell]
S (0.5000, 0.5000, 0.0000) [1 per cell]

Properties
- Total magnetization: 0.00 μB per formula unit

***

| no. | E_form (uncorrected) (eV per formula unit) |
| --- | --- |
| 1 | 9.67 |
| 2 | 4.30 |